Below is a relaxed structure of RbTlVCl4, with properties calculated at the GGA-PBE level.

Cell and atoms, written as POSCAR:
```
RbTlVCl4
1.0
-2.4923 2.4923 8.1181
2.4923 -2.4923 8.1181
2.4923 2.4923 -8.1181
Rb Tl V Cl
1 1 1 4
Cartesian
0.0000 0.0000 0.0000 Rb
0.0000 0.0000 11.5894 Tl
0.0000 0.0000 5.7731 V
0.0000 0.0000 3.2825 Cl
2.4923 0.0000 5.7227 Cl
0.0000 0.0000 8.2644 Cl
0.0000 2.4923 5.7227 Cl
```

Properties
Symmetry ... I4mm (107)
Density of states at the Fermi level ... 1.0 states/eV/cell
Raw total energy ... -29.11 eV for the cell shown